VASP calculation (GGA-PBE) on crystalline Cs3Pa5S12 at its relaxed geometry.

Values from the calculation:
Its formation energy without anion corrections is -1.3614 eV/atom. Its magnetization is 0.203 μB/atom. The calculated density is 4.73 g cm⁻³. The density of states at the Fermi level comes out at 1.00 states/eV per atom. As for the space group: No. 230.

Cell lengths 15.236, 15.236, 15.236 Å; angles 109.47, 109.47, 109.47 degrees
Fractional positions:
Cs 0.750 0.375 0.125
Cs 0.875 0.750 0.125
Cs 0.375 0.750 0.625
Cs 0.250 0.125 0.375
Cs 0.875 0.125 0.250
Cs 0.375 0.625 0.250
Cs 0.625 0.375 0.750
Cs 0.125 0.875 0.750
Cs 0.750 0.875 0.625
Cs 0.625 0.250 0.375
Cs 0.125 0.250 0.875
Cs 0.250 0.625 0.875
Pa 0.125 0.375 0.250
Pa 0.000 0.500 0.000
Pa 0.000 0.000 0.000
Pa 0.375 0.250 0.125
Pa 0.500 0.000 0.500
Pa 0.500 0.500 0.000
Pa 0.125 0.750 0.375
Pa 0.750 0.125 0.875
Pa 0.750 0.625 0.375
Pa 0.375 0.125 0.750
Pa 0.625 0.875 0.250
Pa 0.500 0.500 0.500
Pa 0.500 0.000 0.000
Pa 0.000 0.000 0.500
Pa 0.250 0.375 0.625
Pa 0.250 0.875 0.125
Pa 0.000 0.500 0.500
Pa 0.875 0.250 0.625
Pa 0.625 0.750 0.875
Pa 0.875 0.625 0.750
S 0.688 0.106 0.011
S 0.322 0.511 0.405
S 0.989 0.394 0.312
S 0.511 0.188 0.106
S 0.582 0.688 0.678
S 0.989 0.595 0.178
S 0.322 0.812 0.418
S 0.095 0.918 0.106
S 0.595 0.989 0.678
S 0.688 0.582 0.178
S 0.812 0.489 0.394
S 0.822 0.905 0.011
S 0.106 0.688 0.511
S 0.394 0.405 0.082
S 0.082 0.905 0.394
S 0.418 0.106 0.595
S 0.082 0.178 0.188
S 0.489 0.678 0.095
S 0.822 0.918 0.312
S 0.106 0.418 0.095
S 0.394 0.989 0.812
S 0.595 0.606 0.418
S 0.905 0.822 0.511
S 0.812 0.322 0.918
S 0.405 0.394 0.582
S 0.095 0.178 0.489
S 0.188 0.678 0.082
S 0.178 0.082 0.688
S 0.606 0.011 0.188
S 0.894 0.582 0.905
S 0.511 0.322 0.905
S 0.582 0.894 0.405
S 0.918 0.822 0.812
S 0.918 0.095 0.606
S 0.894 0.312 0.489
S 0.178 0.095 0.989
S 0.606 0.595 0.918
S 0.405 0.011 0.322
S 0.312 0.418 0.822
S 0.188 0.511 0.606
S 0.905 0.082 0.894
S 0.678 0.188 0.582
S 0.489 0.812 0.894
S 0.011 0.405 0.822
S 0.418 0.312 0.322
S 0.011 0.606 0.688
S 0.678 0.489 0.595
S 0.312 0.894 0.989